[1]
{
  "formula": "Ca2AcPd",
  "functional": "PBE-GGA",
  "state": "relaxed",
  "lattice_angstrom": [[-0.630, -0.483, 4.049], [6.686, 0.376, -1.014], [-0.392, 10.047, 1.139]],
  "species": ["Ca", "Ca", "Ca", "Ca", "Ac", "Ac", "Pd", "Pd"],
  "fractional_positions": [[0.354, 0.709, 0.932], [0.646, 0.291, 0.068], [0.354, 0.709, 0.568], [0.646, 0.291, 0.432], [0.079, 0.157, 0.750], [0.921, 0.843, 0.250], [0.748, 0.496, 0.750], [0.252, 0.504, 0.250]],
  "m_tot_mub_per_cell": 0.0,
  "dos_at_fermi_per_ev_atom": 0.915,
  "relative_energy_mev_per_atom": 0,
  "energy_ev_per_cell": -29.96
}


[2]
{
  "formula": "Ca2AcPd",
  "functional": "PBE-GGA",
  "state": "relaxed",
  "lattice_angstrom": [[3.886, 0.000, 0.000], [1.943, 3.365, 0.000], [1.943, 1.122, 11.151]],
  "species": ["Pd", "Ac", "Ca", "Ca"],
  "fractional_positions": [[0.500, 0.500, 0.500], [0.000, 0.000, 0.000], [0.886, 0.886, 0.341], [0.114, 0.114, 0.659]],
  "m_tot_mub_per_cell": 0.0,
  "dos_at_fermi_per_ev_atom": 0.974,
  "relative_energy_mev_per_atom": 257,
  "energy_ev_per_cell": -13.95
}


[3]
{
  "formula": "Ca6AcPd2",
  "functional": "PBE-GGA",
  "state": "relaxed",
  "lattice_angstrom": [[5.351, 0.480, 1.334], [1.699, 7.537, 1.966], [0.937, -0.466, 7.904]],
  "species": ["Ca", "Ca", "Ca", "Ca", "Ca", "Ca", "Ac", "Pd", "Pd"],
  "fractional_positions": [[0.500, 0.329, 0.671], [0.204, 0.133, 0.459], [0.796, 0.541, 0.867], [0.796, 0.867, 0.541], [0.204, 0.459, 0.133], [0.500, 0.671, 0.329], [0.000, 0.000, 0.000], [0.276, 0.725, 0.725], [0.724, 0.275, 0.275]],
  "m_tot_mub_per_cell": 0.0,
  "dos_at_fermi_per_ev_atom": 1.019,
  "energy_ev_per_cell": -28.65
}


[4]
{
  "formula": "CaAc3Pd2",
  "functional": "PBE-GGA",
  "state": "relaxed",
  "lattice_angstrom": [[-4.996, 3.589, 3.157], [-3.799, -6.340, 1.196], [3.447, -0.984, 6.573]],
  "species": ["Pd", "Pd", "Pd", "Pd", "Ca", "Ca", "Ac", "Ac", "Ac", "Ac", "Ac", "Ac"],
  "fractional_positions": [[0.000, 0.254, 0.254], [0.500, 0.746, 0.746], [0.000, 0.746, 0.746], [0.500, 0.254, 0.254], [0.250, 0.563, 0.437], [0.750, 0.437, 0.563], [0.250, 0.061, 0.574], [0.750, 0.939, 0.426], [0.250, 0.426, 0.939], [0.750, 0.574, 0.061], [0.250, 0.922, 0.078], [0.750, 0.078, 0.922]],
  "m_tot_mub_per_cell": 0.0,
  "dos_at_fermi_per_ev_atom": 1.183,
  "relative_energy_mev_per_atom": 17,
  "energy_ev_per_cell": -55.11
}


[5]
{
  "formula": "CaAc2Pd",
  "functional": "PBE-GGA",
  "state": "relaxed",
  "lattice_angstrom": [[-3.412, -2.242, -0.761], [3.867, -0.054, -5.849], [4.810, -8.428, 3.258]],
  "species": ["Ac", "Ac", "Ac", "Ac", "Ca", "Ca", "Pd", "Pd"],
  "fractional_positions": [[0.360, 0.720, 0.937], [0.640, 0.280, 0.437], [0.360, 0.720, 0.563], [0.640, 0.280, 0.063], [0.083, 0.166, 0.750], [0.917, 0.834, 0.250], [0.240, 0.480, 0.250], [0.760, 0.520, 0.750]],
  "m_tot_mub_per_cell": 0.0,
  "dos_at_fermi_per_ev_atom": 1.223,
  "relative_energy_mev_per_atom": 30,
  "energy_ev_per_cell": -33.84
}


[6]
{
  "formula": "Ca2AcPd2",
  "functional": "PBE-GGA",
  "state": "relaxed",
  "lattice_angstrom": [[4.589, 0.000, 0.000], [0.000, 5.737, -0.677], [0.000, -2.841, 11.609]],
  "species": ["Ac", "Ac", "Pd", "Pd", "Pd", "Pd", "Ca", "Ca", "Ca", "Ca"],
  "fractional_positions": [[0.250, 0.805, 0.216], [0.750, 0.195, 0.784], [0.250, 0.869, 0.641], [0.250, 0.335, 0.974], [0.750, 0.131, 0.359], [0.750, 0.665, 0.026], [0.750, 0.224, 0.116], [0.750, 0.712, 0.467], [0.250, 0.288, 0.533], [0.250, 0.776, 0.884]],
  "m_tot_mub_per_cell": 0.0,
  "dos_at_fermi_per_ev_atom": 0.582,
  "energy_ev_per_cell": -42.96
}


[7]
{
  "formula": "CaAc3Pd3",
  "functional": "PBE-GGA",
  "state": "relaxed",
  "lattice_angstrom": [[6.477, -0.433, -0.587], [-1.901, 6.207, -0.587], [-1.901, -2.399, 5.755]],
  "species": ["Pd", "Pd", "Pd", "Ac", "Ac", "Ac", "Ca"],
  "fractional_positions": [[0.051, 0.051, 0.561], [0.561, 0.051, 0.051], [0.051, 0.561, 0.051], [0.537, 0.537, 0.110], [0.110, 0.537, 0.537], [0.537, 0.110, 0.537], [0.953, 0.953, 0.953]],
  "m_tot_mub_per_cell": 0.0,
  "dos_at_fermi_per_ev_atom": 0.837,
  "energy_ev_per_cell": -34.11
}


[8]
{
  "formula": "Ca2Ac2Pd15",
  "functional": "PBE-GGA",
  "state": "relaxed",
  "lattice_angstrom": [[-4.793, -4.269, 3.194], [-1.671, -4.115, -5.628], [4.309, -5.550, 1.428]],
  "species": ["Ac", "Ac", "Pd", "Pd", "Pd", "Pd", "Pd", "Pd", "Pd", "Pd", "Pd", "Pd", "Pd", "Pd", "Pd", "Pd", "Pd", "Ca", "Ca"],
  "fractional_positions": [[0.646, 0.646, 0.646], [0.354, 0.354, 0.354], [0.307, 0.000, 0.693], [0.652, 0.652, 0.160], [0.000, 0.693, 0.307], [0.652, 0.160, 0.652], [0.348, 0.348, 0.840], [0.307, 0.693, 0.000], [0.000, 0.500, 0.000], [0.000, 0.307, 0.693], [0.000, 0.000, 0.500], [0.348, 0.840, 0.348], [0.160, 0.652, 0.652], [0.693, 0.307, 0.000], [0.693, 0.000, 0.307], [0.500, 0.000, 0.000], [0.840, 0.348, 0.348], [0.103, 0.103, 0.103], [0.897, 0.897, 0.897]],
  "m_tot_mub_per_cell": 0.0,
  "dos_at_fermi_per_ev_atom": 0.902,
  "energy_ev_per_cell": -100.40
}


[9]
{
  "formula": "Ca2AcPd3",
  "functional": "PBE-GGA",
  "state": "relaxed",
  "lattice_angstrom": [[-1.176, -1.856, 4.667], [0.822, -3.238, -3.931], [6.088, -0.213, 1.449]],
  "species": ["Ca", "Ca", "Pd", "Pd", "Pd", "Ac"],
  "fractional_positions": [[0.667, 0.333, 0.350], [0.333, 0.667, 0.650], [0.333, 0.667, 0.162], [0.667, 0.333, 0.838], [0.000, 0.000, 0.500], [0.000, 0.000, 0.000]],
  "m_tot_mub_per_cell": 0.0,
  "dos_at_fermi_per_ev_atom": 0.457,
  "relative_energy_mev_per_atom": 0,
  "energy_ev_per_cell": -27.91
}


[10]
{
  "formula": "CaAcPd4",
  "functional": "PBE-GGA",
  "state": "relaxed",
  "lattice_angstrom": [[-3.908, -2.545, 3.062], [0.058, -5.553, 0.541], [1.357, -2.312, 4.893]],
  "species": ["Pd", "Pd", "Pd", "Pd", "Ca", "Ac"],
  "fractional_positions": [[0.126, 0.625, 0.625], [0.625, 0.625, 0.126], [0.625, 0.625, 0.625], [0.625, 0.126, 0.625], [0.250, 0.250, 0.250], [0.000, 0.000, 0.000]],
  "m_tot_mub_per_cell": 0.0,
  "dos_at_fermi_per_ev_atom": 1.146,
  "energy_ev_per_cell": -31.30
}


[11]
{
  "formula": "CaAc2Pd",
  "functional": "PBE-GGA",
  "state": "relaxed",
  "lattice_angstrom": [[-1.100, -1.348, 3.440], [2.752, -2.694, -0.175], [6.251, 6.102, 4.390]],
  "species": ["Ac", "Ac", "Pd", "Ca"],
  "fractional_positions": [[0.000, 0.000, 0.184], [0.000, 0.000, 0.816], [0.500, 0.500, 0.000], [0.500, 0.500, 0.500]],
  "m_tot_mub_per_cell": 0.0,
  "dos_at_fermi_per_ev_atom": 1.098,
  "relative_energy_mev_per_atom": 82,
  "energy_ev_per_cell": -16.71
}


[12]
{
  "formula": "CaAc3Pd12",
  "functional": "PBE-GGA",
  "state": "relaxed",
  "lattice_angstrom": [[4.273, 0.000, 0.000], [0.000, 4.273, 0.000], [0.000, 0.000, 17.051]],
  "species": ["Ac", "Ac", "Ac", "Pd", "Pd", "Pd", "Pd", "Pd", "Pd", "Pd", "Pd", "Pd", "Pd", "Pd", "Pd", "Ca"],
  "fractional_positions": [[0.000, 0.000, 0.757], [0.000, 0.000, 0.243], [0.000, 0.000, 0.500], [0.000, 0.500, 0.118], [0.000, 0.500, 0.627], [0.000, 0.500, 0.373], [0.500, 0.000, 0.373], [0.500, 0.500, 0.000], [0.500, 0.500, 0.500], [0.000, 0.500, 0.882], [0.500, 0.500, 0.753], [0.500, 0.000, 0.882], [0.500, 0.500, 0.247], [0.500, 0.000, 0.627], [0.500, 0.000, 0.118], [0.000, 0.000, 0.000]],
  "m_tot_mub_per_cell": 0.0,
  "dos_at_fermi_per_ev_atom": 0.534,
  "energy_ev_per_cell": -87.33
}


[13]
{
  "formula": "CaAc3Pd2",
  "functional": "PBE-GGA",
  "state": "relaxed",
  "lattice_angstrom": [[-2.061, -3.825, 1.240], [2.923, -1.455, 8.602], [-7.783, 3.885, 7.282]],
  "species": ["Ac", "Ac", "Ac", "Ac", "Ac", "Ac", "Pd", "Pd", "Pd", "Pd", "Ca", "Ca"],
  "fractional_positions": [[0.051, 0.114, 0.783], [0.789, 0.822, 0.601], [0.949, 0.886, 0.217], [0.338, 0.303, 0.020], [0.662, 0.697, 0.980], [0.211, 0.178, 0.399], [0.620, 0.179, 0.581], [0.143, 0.549, 0.166], [0.380, 0.821, 0.419], [0.857, 0.451, 0.834], [0.569, 0.522, 0.341], [0.431, 0.478, 0.659]],
  "m_tot_mub_per_cell": 0.0,
  "dos_at_fermi_per_ev_atom": 0.790,
  "relative_energy_mev_per_atom": 0,
  "energy_ev_per_cell": -55.31
}


[14]
{
  "formula": "Ca3AcPd4",
  "functional": "PBE-GGA",
  "state": "relaxed",
  "lattice_angstrom": [[4.900, 0.000, 1.446], [2.236, 4.360, 1.446], [0.044, 0.027, 8.874]],
  "species": ["Pd", "Pd", "Pd", "Pd", "Ca", "Ca", "Ca", "Ac"],
  "fractional_positions": [[0.876, 0.876, 0.371], [0.623, 0.623, 0.131], [0.124, 0.124, 0.629], [0.377, 0.377, 0.869], [0.244, 0.244, 0.267], [0.500, 0.500, 0.500], [0.756, 0.756, 0.733], [0.000, 0.000, 0.000]],
  "m_tot_mub_per_cell": 0.0,
  "dos_at_fermi_per_ev_atom": 0.271,
  "energy_ev_per_cell": -36.47
}


[15]
{
  "formula": "CaAcPd2",
  "functional": "PBE-GGA",
  "state": "relaxed",
  "lattice_angstrom": [[-0.424, -1.687, 3.246], [-0.595, -4.550, -2.442], [5.129, -0.806, 0.251]],
  "species": ["Pd", "Pd", "Ac", "Ca"],
  "fractional_positions": [[0.000, 0.000, 0.500], [0.000, 0.500, 0.000], [0.500, 0.500, 0.500], [0.500, 0.000, 0.000]],
  "m_tot_mub_per_cell": 0.0,
  "dos_at_fermi_per_ev_atom": 0.408,
  "relative_energy_mev_per_atom": 59,
  "energy_ev_per_cell": -19.37
}


[16]
{
  "formula": "CaAcPd2",
  "functional": "PBE-GGA",
  "state": "relaxed",
  "lattice_angstrom": [[5.210, 0.000, 0.000], [2.605, 4.512, 0.000], [2.605, 1.504, 4.254]],
  "species": ["Ca", "Ac", "Pd", "Pd"],
  "fractional_positions": [[0.500, 0.500, 0.500], [0.000, 0.000, 0.000], [0.750, 0.750, 0.750], [0.250, 0.250, 0.250]],
  "m_tot_mub_per_cell": 0.0,
  "dos_at_fermi_per_ev_atom": 0.522,
  "relative_energy_mev_per_atom": 72,
  "energy_ev_per_cell": -19.31
}


[17]
{
  "formula": "CaAcPd2",
  "functional": "PBE-GGA",
  "state": "relaxed",
  "lattice_angstrom": [[3.838, 0.000, -1.396], [0.000, 4.567, 0.000], [0.005, 0.000, 5.966]],
  "species": ["Pd", "Pd", "Ac", "Ca"],
  "fractional_positions": [[0.001, 0.000, 0.541], [0.161, 0.500, 0.863], [0.722, 0.000, 0.983], [0.446, 0.500, 0.431]],
  "m_tot_mub_per_cell": 0.0,
  "dos_at_fermi_per_ev_atom": 0.408,
  "relative_energy_mev_per_atom": 0,
  "energy_ev_per_cell": -19.60
}


[18]
{
  "formula": "Ca2Ac3Pd4",
  "functional": "PBE-GGA",
  "state": "relaxed",
  "lattice_angstrom": [[4.149, 0.000, 0.000], [-2.074, 6.978, -0.980], [0.000, -0.391, 9.444]],
  "species": ["Ac", "Ac", "Ac", "Pd", "Pd", "Pd", "Pd", "Ca", "Ca"],
  "fractional_positions": [[0.000, 0.000, 0.000], [0.392, 0.784, 0.600], [0.608, 0.216, 0.400], [0.942, 0.885, 0.356], [0.654, 0.308, 0.107], [0.058, 0.115, 0.644], [0.346, 0.692, 0.893], [0.694, 0.388, 0.815], [0.306, 0.612, 0.185]],
  "m_tot_mub_per_cell": 0.0,
  "dos_at_fermi_per_ev_atom": 0.715,
  "energy_ev_per_cell": -42.82
}


[19]
{
  "formula": "Ca3AcPd",
  "functional": "PBE-GGA",
  "state": "relaxed",
  "lattice_angstrom": [[-0.021, 1.178, -5.575], [3.098, -4.676, -1.000], [-4.782, -3.035, -0.623]],
  "species": ["Ca", "Ca", "Ca", "Pd", "Ac"],
  "fractional_positions": [[0.000, 0.000, 0.500], [0.000, 0.500, 0.000], [0.500, 0.000, 0.000], [0.000, 0.000, 0.000], [0.500, 0.500, 0.500]],
  "m_tot_mub_per_cell": 0.0,
  "dos_at_fermi_per_ev_atom": 0.905,
  "relative_energy_mev_per_atom": 100,
  "energy_ev_per_cell": -16.40
}


[20]
{
  "formula": "CaAcPd6",
  "functional": "PBE-GGA",
  "state": "relaxed",
  "lattice_angstrom": [[-2.463, -3.849, 1.370], [-2.035, -0.722, -5.686], [5.170, -2.687, 1.745]],
  "species": ["Ca", "Pd", "Pd", "Pd", "Pd", "Pd", "Pd", "Ac"],
  "fractional_positions": [[0.000, 0.083, 0.917], [0.500, 0.431, 0.091], [0.000, 0.595, 0.405], [0.000, 0.595, 0.940], [0.500, 0.909, 0.569], [0.500, 0.910, 0.090], [0.000, 0.060, 0.405], [0.500, 0.417, 0.583]],
  "m_tot_mub_per_cell": 0.0,
  "dos_at_fermi_per_ev_atom": 0.946,
  "energy_ev_per_cell": -42.02
}


[21]
{
  "formula": "CaAc4Pd4",
  "functional": "PBE-GGA",
  "state": "relaxed",
  "lattice_angstrom": [[-2.494, 4.656, 3.183], [-2.306, -1.897, 6.942], [4.975, 3.948, 4.097]],
  "species": ["Ac", "Ac", "Ac", "Ac", "Pd", "Pd", "Pd", "Pd", "Ca"],
  "fractional_positions": [[0.601, 0.592, 0.206], [0.807, 0.794, 0.592], [0.193, 0.206, 0.408], [0.399, 0.408, 0.794], [0.900, 0.394, 0.807], [0.100, 0.606, 0.193], [0.294, 0.806, 0.606], [0.706, 0.194, 0.394], [0.000, 0.000, 0.000]],
  "m_tot_mub_per_cell": 0.0,
  "dos_at_fermi_per_ev_atom": 0.526,
  "energy_ev_per_cell": -45.40
}


[22]
{
  "formula": "Ca3AcPd3",
  "functional": "PBE-GGA",
  "state": "relaxed",
  "lattice_angstrom": [[-3.832, -2.176, 1.594], [-1.818, -3.419, -9.038], [5.550, -5.227, 6.209]],
  "species": ["Ca", "Ca", "Ca", "Ca", "Ca", "Ca", "Pd", "Pd", "Pd", "Pd", "Pd", "Pd", "Ac", "Ac"],
  "fractional_positions": [[0.250, 0.248, 0.946], [0.250, 0.054, 0.302], [0.250, 0.698, 0.752], [0.750, 0.946, 0.698], [0.750, 0.302, 0.248], [0.750, 0.752, 0.054], [0.250, 0.398, 0.456], [0.750, 0.602, 0.544], [0.750, 0.942, 0.398], [0.250, 0.058, 0.602], [0.750, 0.456, 0.058], [0.250, 0.544, 0.942], [0.250, 0.667, 0.333], [0.750, 0.333, 0.667]],
  "m_tot_mub_per_cell": 0.0,
  "dos_at_fermi_per_ev_atom": 0.446,
  "energy_ev_per_cell": -60.05
}


[23]
{
  "formula": "CaAc2Pd",
  "functional": "PBE-GGA",
  "state": "relaxed",
  "lattice_angstrom": [[-3.838, 0.380, 1.801], [-3.263, -2.327, -1.433], [0.004, -8.044, 6.734]],
  "species": ["Ac", "Ac", "Ca", "Pd"],
  "fractional_positions": [[0.725, 0.725, 0.824], [0.275, 0.275, 0.176], [0.500, 0.500, 0.500], [0.000, 0.000, 0.000]],
  "m_tot_mub_per_cell": 0.0,
  "dos_at_fermi_per_ev_atom": 1.346,
  "relative_energy_mev_per_atom": 71,
  "energy_ev_per_cell": -16.75
}


[24]
{
  "formula": "Ca2Ac2Pd3",
  "functional": "PBE-GGA",
  "state": "relaxed",
  "lattice_angstrom": [[4.709, -0.008, 0.001], [-2.350, 5.420, -0.301], [-0.003, -1.104, 8.284]],
  "species": ["Pd", "Pd", "Pd", "Ca", "Ca", "Ac", "Ac"],
  "fractional_positions": [[0.810, 0.620, 0.277], [0.190, 0.380, 0.723], [0.000, 0.000, 0.000], [0.360, 0.721, 0.076], [0.640, 0.279, 0.924], [0.127, 0.254, 0.350], [0.873, 0.746, 0.650]],
  "m_tot_mub_per_cell": 0.0,
  "dos_at_fermi_per_ev_atom": 0.609,
  "relative_energy_mev_per_atom": 48,
  "energy_ev_per_cell": -32.02
}